No. 1
DFT (PBE-GGA) results for a geometry-optimized Pm4In2Ag structure.

a = 5.361 Å, b = 5.361 Å, c = 9.192 Å
α = 73.04°, β = 73.04°, γ = 60.00°
Positions (direct):
In: 0.750 0.750 0.751
In: 0.250 0.250 0.249
Ag: 0.000 0.000 0.000
Pm: 0.873 0.873 0.380
Pm: 0.127 0.127 0.620
Pm: 0.622 0.622 0.133
Pm: 0.378 0.378 0.867

Properties
* final energy: -29.14 eV for the cell shown
* symmetry: R-3m, No. 166
* magnetic moment: 0.01 Bohr magnetons per cell
* calculated density: 7.07 g cm⁻³
* N(E_F): 10.67 states/eV/cell
* formation enthalpy at 0 K: -0.258 eV per atom

=====

No. 2
DFT (PBE-GGA) results for a geometry-optimized NdYCCl structure.

a = 3.696 Å, b = 3.697 Å, c = 7.397 Å
α = 90.00°, β = 104.47°, γ = 120.00°
Positions (direct):
Nd: 0.511 0.153 0.679
Y: 0.096 0.946 0.057
C: 0.314 0.555 0.884
Cl: 0.958 0.377 0.350

Properties
* final energy: -26.51 eV for the cell shown
* symmetry: R3m, No. 160
* magnetic moment: 0.00 Bohr magnetons per cell
* calculated density: 5.56 g cm⁻³
* raw formation energy: -1.051 eV/atom
* N(E_F): 2.13 states/eV/cell

=====

No. 3
DFT (PBE-GGA) results for a geometry-optimized ScAl2Ni2 structure.

a = 7.190 Å, b = 7.190 Å, c = 2.766 Å
α = 90.00°, β = 90.00°, γ = 90.00°
Last column: magnetic moment on the atom in μB.
Positions (direct):
Sc: 0.000 0.000 0.000  0.11
Sc: 0.500 0.500 0.000  0.11
Ni: 0.358 0.858 0.000  0.00
Ni: 0.858 0.642 0.000  0.00
Ni: 0.642 0.142 0.000  0.00
Ni: 0.142 0.358 0.000  0.00
Al: 0.150 0.650 0.500  0.00
Al: 0.650 0.850 0.500  0.00
Al: 0.850 0.350 0.500  0.00
Al: 0.350 0.150 0.500  0.00

Properties
* final energy: -56.12 eV for the cell shown
* symmetry: P4/mbm, No. 127
* magnetic moment: 0.29 Bohr magnetons per cell
* calculated density: 5.02 g cm⁻³
* N(E_F): 6.69 states/eV/cell
* formation enthalpy at 0 K: -0.536 eV per atom

=====

No. 4
DFT (PBE-GGA) results for a geometry-optimized RuPt3I structure.

a = 4.915 Å, b = 4.915 Å, c = 4.915 Å
α = 90.00°, β = 90.00°, γ = 90.00°
Last column: magnetic moment on the atom in μB.
Positions (direct):
I: 0.000 0.000 0.000  0.01
Ru: 0.500 0.500 0.500  2.54
Pt: 0.000 0.500 0.000  0.08
Pt: 0.000 0.000 0.500  0.04
Pt: 0.500 0.000 0.000  0.18

Properties
* final energy: -20.66 eV for the cell shown
* symmetry: Pm-3m, No. 221
* magnetic moment: 2.98 Bohr magnetons per cell
* calculated density: 11.38 g cm⁻³
* raw formation energy: 1.657 eV/atom
* N(E_F): 4.29 states/eV/cell

=====

No. 5
DFT (PBE-GGA) results for a geometry-optimized Sr2MgHg3 structure.

a = 6.458 Å, b = 6.458 Å, c = 9.684 Å
α = 104.92°, β = 104.92°, γ = 103.17°
Positions (direct):
Sr: 0.250 0.750 0.500
Sr: 0.757 0.757 0.000
Sr: 0.750 0.250 0.500
Sr: 0.243 0.243 0.000
Mg: 0.667 0.667 0.333
Mg: 0.333 0.333 0.667
Hg: 0.342 0.828 0.171
Hg: 0.172 0.658 0.829
Hg: 0.658 0.172 0.829
Hg: 0.828 0.342 0.171
Hg: 0.171 0.171 0.342
Hg: 0.829 0.829 0.658

Properties
* final energy: -16.72 eV for the cell shown
* symmetry: Fmmm, No. 69
* magnetic moment: 0.00 Bohr magnetons per cell
* calculated density: 7.44 g cm⁻³
* N(E_F): 7.82 states/eV/cell
* formation enthalpy at 0 K: -0.416 eV per atom

=====

No. 6
DFT (PBE-GGA) results for a geometry-optimized Rb2HfAsCl6 structure.

a = 8.125 Å, b = 8.125 Å, c = 8.129 Å
α = 60.02°, β = 60.02°, γ = 90.00°
Last column: magnetic moment on the atom in μB.
Positions (direct):
As: 0.500 0.500 0.000  1.21
Hf: 0.000 0.000 0.000  0.09
Rb: 0.750 0.250 0.500  0.00
Rb: 0.250 0.750 0.500  0.00
Cl: 0.214 0.214 0.572  0.03
Cl: 0.786 0.786 0.428  0.03
Cl: 0.214 0.214 0.000  0.03
Cl: 0.786 0.786 0.000  0.03
Cl: 0.786 0.214 0.000  0.03
Cl: 0.214 0.786 0.000  0.03

Properties
* final energy: -41.77 eV for the cell shown
* symmetry: Fm-3m, No. 225
* magnetic moment: 3.00 Bohr magnetons per cell
* calculated density: 2.79 g cm⁻³
* raw formation energy: -1.415 eV/atom
* N(E_F): 0.00 states/eV/cell

=====

No. 7
DFT (PBE-GGA) results for a geometry-optimized CrInSn2Cl8 structure.

a = 7.444 Å, b = 6.209 Å, c = 8.598 Å
α = 105.97°, β = 75.18°, γ = 93.27°
Last column: magnetic moment on the atom in μB.
Positions (direct):
Cr: 0.000 0.000 0.000  2.83
In: 0.000 0.000 0.500  0.00
Sn: 0.388 0.543 0.770  0.01
Sn: 0.612 0.457 0.230  0.01
Cl: 0.165 0.804 0.116  -0.01
Cl: 0.719 0.817 0.090  -0.02
Cl: 0.923 0.294 0.255  -0.02
Cl: 0.835 0.196 0.884  -0.01
Cl: 0.281 0.183 0.910  -0.02
Cl: 0.077 0.706 0.745  -0.02
Cl: 0.624 0.747 0.515  0.00
Cl: 0.376 0.253 0.485  0.00

Properties
* final energy: -46.91 eV for the cell shown
* symmetry: P-1, No. 2
* magnetic moment: 3.00 Bohr magnetons per cell
* calculated density: 3.09 g cm⁻³
* raw formation energy: -0.981 eV/atom

=====

No. 8
DFT (PBE-GGA) results for a geometry-optimized SrCd10Rh2 structure.

a = 5.817 Å, b = 7.682 Å, c = 7.535 Å
α = 81.60°, β = 67.29°, γ = 67.75°
Positions (direct):
Sr: 0.000 0.000 0.000
Cd: 0.341 0.640 0.679
Cd: 0.659 0.360 0.321
Cd: 0.980 0.360 0.679
Cd: 0.020 0.640 0.321
Cd: 0.000 0.000 0.500
Cd: 0.500 0.000 0.500
Cd: 0.279 0.231 0.211
Cd: 0.721 0.769 0.789
Cd: 0.510 0.769 0.211
Cd: 0.490 0.231 0.789
Rh: 0.000 0.500 0.000
Rh: 0.500 0.500 0.000

Properties
* final energy: -27.53 eV for the cell shown
* symmetry: Fmmm, No. 69
* magnetic moment: 0.00 Bohr magnetons per cell
* calculated density: 8.19 g cm⁻³
* N(E_F): 6.50 states/eV/cell
* formation enthalpy at 0 K: -0.153 eV per atom

=====

No. 9
DFT (PBE-GGA) results for a geometry-optimized BaCu3Si3 structure.

a = 6.578 Å, b = 6.578 Å, c = 6.578 Å
α = 90.00°, β = 90.00°, γ = 90.00°
Positions (direct):
Si: 0.000 0.250 0.500
Si: 0.000 0.750 0.500
Si: 0.500 0.000 0.750
Si: 0.750 0.500 0.000
Si: 0.500 0.000 0.250
Si: 0.250 0.500 0.000
Ba: 0.500 0.500 0.500
Ba: 0.000 0.000 0.000
Cu: 0.250 0.000 0.500
Cu: 0.000 0.500 0.250
Cu: 0.500 0.750 0.000
Cu: 0.750 0.000 0.500
Cu: 0.000 0.500 0.750
Cu: 0.500 0.250 0.000

Properties
* final energy: -61.08 eV for the cell shown
* symmetry: Pm-3n, No. 223
* magnetic moment: 0.00 Bohr magnetons per cell
* calculated density: 4.81 g cm⁻³
* raw formation energy: -0.009 eV/atom
* N(E_F): 9.82 states/eV/cell

=====

No. 10
DFT (PBE-GGA) results for a geometry-optimized BiHAuIN structure.

a = 3.796 Å, b = 3.839 Å, c = 7.674 Å
α = 86.65°, β = 88.16°, γ = 75.15°
Positions (direct):
Bi: 0.059 0.794 0.499
H: 0.247 0.314 0.591
Au: 0.574 0.234 0.175
I: 0.550 0.764 0.906
N: 0.584 0.713 0.328

Properties
* final energy: -17.70 eV for the cell shown
* symmetry: P1, No. 1
* magnetic moment: 0.00 Bohr magnetons per cell
* calculated density: 8.43 g cm⁻³
* N(E_F): 1.32 states/eV/cell

=====

No. 11
DFT (PBE-GGA) results for a geometry-optimized LaPrHg2 structure.

a = 5.498 Å, b = 5.498 Å, c = 5.498 Å
α = 60.00°, β = 60.00°, γ = 60.00°
Last column: magnetic moment on the atom in μB.
Positions (direct):
Pr: 0.000 0.000 0.000  0.22
Hg: 0.250 0.250 0.250  0.01
Hg: 0.750 0.750 0.750  0.01
La: 0.500 0.500 0.500  0.18

Properties
* final energy: -12.27 eV for the cell shown
* symmetry: Fm-3m, No. 225
* magnetic moment: 0.87 Bohr magnetons per cell
* calculated density: 9.62 g cm⁻³
* N(E_F): 4.04 states/eV/cell
* formation enthalpy at 0 K: -0.489 eV per atom

=====

No. 12
DFT (PBE-GGA) results for a geometry-optimized LiAg2Os structure.

a = 3.811 Å, b = 3.811 Å, c = 9.830 Å
α = 78.82°, β = 78.82°, γ = 90.00°
Last column: magnetic moment on the atom in μB.
Positions (direct):
Os: 0.000 0.000 0.000  1.14
Os: 0.750 0.250 0.500  1.12
Ag: 0.623 0.125 0.250  0.04
Ag: 0.127 0.625 0.250  0.04
Ag: 0.375 0.377 0.750  0.05
Ag: 0.875 0.873 0.750  0.04
Li: 0.500 0.500 0.000  -0.01
Li: 0.250 0.750 0.500  -0.01

Properties
* final energy: -30.08 eV for the cell shown
* symmetry: I-42d, No. 122
* magnetic moment: 2.53 Bohr magnetons per cell
* calculated density: 9.99 g cm⁻³
* N(E_F): 7.59 states/eV/cell
* formation enthalpy at 0 K: 0.951 eV per atom